Record 1
The following is a DFT calculation (PBE-GGA) of PmNdGe2Pd5 after structural relaxation.

```
PmNdGe2Pd5
1.0
4.3011 0.0000 0.0000
0.0000 4.3011 0.0000
0.0000 0.0000 9.1641
Pm Nd Ge Pd
1 1 2 5
Cartesian
0.0000 0.0000 0.0000
0.0000 0.0000 4.5821
2.1506 2.1506 1.2438
2.1506 2.1506 7.9204
0.0000 2.1506 2.5033
0.0000 2.1506 6.6609
2.1506 0.0000 2.5033
2.1506 0.0000 6.6609
2.1506 2.1506 4.5821
```

Energy of formation from the pure elements, meV/atom: -808
Uncorrected energy, eV for the cell shown: -51.990
Space group: P4/mmm
Calculated volume, A^3/atom: 18.8

***

Record 2
The following is a DFT calculation (PBE-GGA) of PrHfTh2 after structural relaxation.

```
PrHfTh2
1.0
1.7449 1.0074 11.4446
-1.7449 1.0074 11.4446
0.0000 -2.0148 11.4446
Pr Hf Th
1 1 2
Cartesian
0.0000 0.0000 0.0000
0.0000 0.0000 28.5367
0.0000 0.0000 8.3504
0.0000 0.0000 14.4385
```

Energy of formation from the pure elements, meV/atom: 163
Uncorrected energy, eV for the cell shown: -28.920
Space group: R3m
Calculated volume, A^3/atom: 30.2